Material: Ba3Ca2Si2N6
Method: DFT, SCAN
State: single point on PBEsol structure

Calculated values
The calculation puts the uncorrected formation energy at -1229 meV per atom.

Structure (extended XYZ):
```
26
Lattice="5.0142 -3.4060 0.0000 5.0142 3.4060 0.0000 -2.6884 0.0000 13.0055" Properties=species:S:1:pos:R:3 pbc="T T T"
Ba 2.9978 2.7371 9.7541
Ba 4.3999 1.7920 0.1026
Ba 4.2842 1.7920 6.4001
Ba 3.0557 -1.7920 6.6054
Ba 2.9400 -1.7920 12.9028
Ba 4.3420 -2.7371 3.2514
Ca 2.7283 0.4096 3.6697
Ca 1.3841 -0.4096 10.1724
Ca 5.9558 0.4096 2.8331
Ca 4.6116 -0.4096 9.3358
Si 1.2415 1.0122 7.5403
Si 2.5857 -1.0122 1.0375
Si 4.7542 1.0122 11.9679
Si 6.0984 -1.0122 5.4652
N -0.1078 0.7083 8.6050
N 0.9286 0.6087 5.7989
N 1.2364 -0.7083 2.1023
N -0.4156 -0.6087 12.3016
N 2.6938 0.3144 8.1988
N 4.0380 -0.3144 1.6961
N 3.3019 0.3144 11.3093
N 4.6461 -0.3144 4.8066
N 7.7555 0.6087 0.7039
N 6.1035 0.7083 10.9032
N 6.4113 -0.6087 7.2066
N 7.4477 -0.7083 4.4005
```